The following is a DFT calculation (PBE+U) of an optimized crystal structure of ZrCo2BrO.

Lattice parameters (Å, degrees): 4.185 4.413 4.185 90.00 90.00 90.00
Site moments in Bohr magnetons follow the coordinates.
Element x y z (fractional)
O 0.000 0.000 0.000  -0.08
Co 0.000 0.000 0.500  1.82
Co 0.500 0.000 0.000  1.65
Br 0.500 0.500 0.500  0.02
Zr 0.000 0.500 0.000  -0.43

Electronic total energy   -25.86 eV/cell
Symmetry   P4/mmm
Volume   77 Å³/f.u.
Calculated density   6.55 Mg/m³
N(E_F)   3.292 states/eV/f.u.